(1)
{
  "formula": "Cs2CdGe3S8",
  "functional": "SCAN",
  "state": "PBEsol geometry",
  "volume_a3_per_atom": 28.230,
  "final_energy_ev_per_atom": -17.97,
  "lattice_angstrom": [[7.401, 0.000, 0.000], [0.000, 12.589, 0.000], [0.000, 0.000, 16.966]],
  "species": ["Cs", "Cs", "Cs", "Cs", "Cs", "Cs", "Cs", "Cs", "Cd", "Cd", "Cd", "Cd", "Ge", "Ge", "Ge", "Ge", "Ge", "Ge", "Ge", "Ge", "Ge", "Ge", "Ge", "Ge", "S", "S", "S", "S", "S", "S", "S", "S", "S", "S", "S", "S", "S", "S", "S", "S", "S", "S", "S", "S", "S", "S", "S", "S", "S", "S", "S", "S", "S", "S", "S", "S"],
  "fractional_positions": [[0.229, 0.200, 0.350], [0.247, 0.130, 0.946], [0.253, 0.870, 0.446], [0.271, 0.800, 0.850], [0.729, 0.300, 0.650], [0.747, 0.370, 0.054], [0.753, 0.630, 0.554], [0.771, 0.700, 0.150], [0.025, 0.998, 0.652], [0.475, 0.002, 0.152], [0.525, 0.502, 0.348], [0.975, 0.498, 0.848], [0.024, 0.530, 0.346], [0.232, 0.553, 0.678], [0.240, 0.552, 0.018], [0.260, 0.448, 0.518], [0.268, 0.447, 0.178], [0.476, 0.470, 0.846], [0.524, 0.970, 0.654], [0.732, 0.947, 0.322], [0.740, 0.948, 0.982], [0.760, 0.052, 0.482], [0.768, 0.053, 0.822], [0.976, 0.030, 0.154], [0.004, 0.124, 0.768], [0.004, 0.419, 0.240], [0.007, 0.415, 0.450], [0.009, 0.114, 0.530], [0.212, 0.381, 0.640], [0.216, 0.131, 0.152], [0.233, 0.379, 0.055], [0.237, 0.371, 0.844], [0.263, 0.629, 0.344], [0.267, 0.621, 0.555], [0.284, 0.869, 0.652], [0.288, 0.619, 0.140], [0.491, 0.886, 0.030], [0.493, 0.585, 0.950], [0.496, 0.581, 0.740], [0.496, 0.876, 0.268], [0.504, 0.081, 0.760], [0.504, 0.376, 0.232], [0.507, 0.085, 0.550], [0.509, 0.386, 0.470], [0.712, 0.119, 0.360], [0.716, 0.369, 0.848], [0.733, 0.121, 0.945], [0.737, 0.129, 0.156], [0.763, 0.871, 0.656], [0.767, 0.879, 0.445], [0.784, 0.631, 0.348], [0.788, 0.881, 0.860], [0.991, 0.614, 0.970], [0.993, 0.915, 0.050], [0.996, 0.624, 0.732], [0.996, 0.919, 0.260]]
}

(2)
{
  "formula": "CsCdH3",
  "functional": "SCAN",
  "state": "PBEsol geometry",
  "volume_a3_per_atom": 14.956,
  "final_energy_ev_per_atom": -15.77,
  "lattice_angstrom": [[4.213, 0.000, 0.000], [0.000, 4.213, 0.000], [0.000, 0.000, 4.213]],
  "species": ["Cs", "Cd", "H", "H", "H"],
  "fractional_positions": [[0.000, 0.000, 0.000], [0.500, 0.500, 0.500], [0.000, 0.500, 0.500], [0.500, 0.000, 0.500], [0.500, 0.500, 0.000]]
}

(3)
{
  "formula": "CsCdPH2",
  "functional": "SCAN",
  "state": "PBEsol geometry",
  "volume_a3_per_atom": 20.421,
  "final_energy_ev_per_atom": -16.57,
  "lattice_angstrom": [[4.512, 0.000, 0.000], [0.000, 4.512, 0.000], [0.000, 0.000, 5.016]],
  "species": ["Cs", "Cd", "P", "H", "H"],
  "fractional_positions": [[0.000, 0.000, 0.000], [0.500, 0.500, 0.000], [0.500, 0.500, 0.500], [0.000, 0.500, 0.500], [0.500, 0.000, 0.500]]
}

(4)
{
  "formula": "CsHf2Cd2",
  "functional": "SCAN",
  "state": "PBEsol geometry",
  "volume_a3_per_atom": 30.934,
  "delta_e_f_ev_per_atom": 0.474,
  "lattice_angstrom": [[-2.040, 2.040, 9.289], [2.040, -2.040, 9.289], [2.040, 2.040, -9.289]],
  "species": ["Cs", "Hf", "Hf", "Cd", "Cd"],
  "fractional_positions": [[0.000, 0.000, 0.000], [0.250, 0.750, 0.500], [0.750, 0.250, 0.500], [0.368, 0.368, 0.000], [0.632, 0.632, 0.000]]
}